Record 1
Density functional theory data (PBE-GGA) for a geometry-optimized Cd5Pd4Pb structure.

Results
V (Å³/cell): 195
Energy relative to the elements (meV per atom): -303
Symmetry: No. 123

Cell: 3.241 3.241 18.529 Å, 90.00 90.00 90.00°
Atoms (fractional coordinates):
Cd1 0.000 0.000 0.000
Cd2 0.000 0.000 0.180
Cd3 0.000 0.000 0.361
Cd4 0.000 0.000 0.639
Cd5 0.000 0.000 0.820
Pd1 0.500 0.500 0.090
Pd2 0.500 0.500 0.271
Pd3 0.500 0.500 0.729
Pd4 0.500 0.500 0.910
Pb1 0.500 0.500 0.500

Record 2
Density functional theory data (PBE-GGA) for a geometry-optimized Cd2PdPb structure.

Results
V (Å³/cell): 390
Energy relative to the elements (meV per atom): -3
Symmetry: No. 122

Cell: 8.386 8.386 5.540 Å, 90.00 90.00 90.00°
Atoms (fractional coordinates):
Cd1 0.199 0.250 0.125
Cd2 0.250 0.699 0.375
Cd3 0.250 0.801 0.875
Cd4 0.301 0.250 0.625
Cd5 0.699 0.750 0.625
Cd6 0.750 0.199 0.875
Cd7 0.750 0.301 0.375
Cd8 0.801 0.750 0.125
Pd1 0.000 0.000 0.000
Pd2 0.000 0.500 0.250
Pd3 0.500 0.000 0.750
Pd4 0.500 0.500 0.500
Pb1 0.000 0.000 0.500
Pb2 0.000 0.500 0.750
Pb3 0.500 0.000 0.250
Pb4 0.500 0.500 0.000